Model i:
Below is a relaxed Dy3HoTe6 crystal, with properties calculated at the GGA-PBE level.

abc: 9.004 9.004 9.004
angles: 90.51 90.51 90.51
Positions (direct):
Te1 0.091 0.315 0.913
Te2 0.539 0.410 0.179
Te3 0.685 0.087 0.909
Te4 0.179 0.539 0.410
Te5 0.913 0.091 0.315
Te6 0.461 0.590 0.821
Te7 0.909 0.685 0.087
Te8 0.315 0.913 0.091
Te9 0.590 0.821 0.461
Te10 0.821 0.461 0.590
Te11 0.410 0.179 0.539
Te12 0.087 0.909 0.685
Ho1 0.000 0.000 0.000
Ho2 0.500 0.500 0.500
Dy1 0.082 0.243 0.575
Dy2 0.425 0.918 0.757
Dy3 0.243 0.575 0.082
Dy4 0.918 0.757 0.425
Dy5 0.757 0.425 0.918
Dy6 0.575 0.082 0.243


Model ii:
Below is a relaxed Dy3HoTe6 crystal, with properties calculated at the GGA-PBE level.

abc: 4.339 12.457 12.784
angles: 109.38 90.00 90.00
Positions (direct):
Te1 0.250 0.890 0.533
Te2 0.250 0.250 0.719
Te3 0.750 0.810 0.750
Te4 0.750 0.110 0.467
Te5 0.750 0.484 0.618
Te6 0.250 0.606 0.937
Te7 0.250 0.190 0.250
Te8 0.250 0.516 0.382
Te9 0.750 0.394 0.063
Te10 0.750 0.750 0.281
Te11 0.250 0.084 0.898
Te12 0.750 0.916 0.102
Dy1 0.250 0.845 0.921
Dy2 0.750 0.684 0.503
Dy3 0.250 0.316 0.497
Dy4 0.750 0.430 0.833
Dy5 0.250 0.570 0.167
Dy6 0.750 0.155 0.079
Ho1 0.750 0.044 0.693
Ho2 0.250 0.956 0.307


Stability check: which of them is least stable? model i.